LiCaCr2O8: relaxed, PBE+U.

Cell: 7.3134 7.3134 7.3134 Å, 40.62 40.62 40.62°
Fractional coordinates of all 12 atoms:
Li1 0.0000 0.0000 0.0000
Ca1 0.5000 0.5000 0.5000
Cr1 0.2475 0.2475 0.2475
Cr2 0.7525 0.7525 0.7525
O1 0.0565 0.7048 0.4272
O2 0.1649 0.1649 0.1649
O3 0.2952 0.5728 0.9435
O4 0.4272 0.0565 0.7048
O5 0.5728 0.9435 0.2952
O6 0.7048 0.4272 0.0565
O7 0.8351 0.8351 0.8351
O8 0.9435 0.2952 0.5728

Properties
Calculated volume in Å³ per atom: 12.46
M_tot in μB/f.u.: 1.07
Energy in eV/cell: -75.84
Density in Mg/m³: 3.10
Density of states at the Fermi level in states/eV/f.u.: 6.66
Crystal system: trigonal
SG: R-3, No. 148